The following is a PBE+U calculation of a geometry-optimized NbNiBiO2 structure, from Alexandria.

Magnetic moment ... 2.25 μB per formula unit
Total DFT energy (no corrections) ... -4.498 eV per atom
Symmetry ... P4/mmm

Unit cell a=4.3139 b=4.3139 c=4.8606 alpha=90.00 beta=90.00 gamma=90.00
Sites, in units of the cell vectors:
Nb 0.0000 0.0000 0.0000
Ni 0.5000 0.5000 0.0000
Bi 0.5000 0.5000 0.5000
O 0.0000 0.5000 0.5000
O 0.5000 0.0000 0.5000